Run 1
## MoBr3O (PBE with a Hubbard U)

Data for an optimized crystal structure of MoBr3O.

Computed properties:
Total magnetic moment: 0.91 μB per atom

Unit cell a=4.8231 b=4.8231 c=4.8231 alpha=90.00 beta=90.00 gamma=90.00
Sites, in units of the cell vectors:
Mo 0.0000 0.0000 0.0000
Br 0.0000 0.5000 0.5000
Br 0.5000 0.0000 0.5000
Br 0.5000 0.5000 0.0000
O 0.5000 0.5000 0.5000

=====

Run 2
## MoBr3O (PBE with a Hubbard U)

Data for an optimized crystal structure of MoBr3O.

Computed properties:
Total magnetic moment: 0.20 μB per atom

Unit cell a=3.8864 b=12.5976 c=13.1714 alpha=90.00 beta=106.95 gamma=90.00
Sites, in units of the cell vectors:
Mo 0.1692 0.1109 0.1108
Mo 0.1692 0.3891 0.6108
Mo 0.8308 0.6109 0.3892
Mo 0.8308 0.8891 0.8892
Br 0.0996 0.6007 0.6008
Br 0.0996 0.8993 0.1008
Br 0.1038 0.1942 0.6017
Br 0.1038 0.3058 0.1017
Br 0.3048 0.1020 0.3057
Br 0.3048 0.3980 0.8057
Br 0.6952 0.6020 0.1943
Br 0.6952 0.8980 0.6943
Br 0.8962 0.6942 0.8983
Br 0.8962 0.8058 0.3983
Br 0.9004 0.1007 0.8992
Br 0.9004 0.3993 0.3992
O 0.3781 0.6040 0.3961
O 0.3781 0.8960 0.8961
O 0.6219 0.1040 0.1039
O 0.6219 0.3960 0.6039

=====

The most stable structure shown above is run 2; the least stable is run 1.